<P>
PmSiC | GGA-PBE | relaxed

## Properties
Space-group type: P3m1, No. 156
N(E_F) (states/eV per cell): 1.6

Structure (extended XYZ):
```
3
Lattice="3.309 0.000 0.000 -1.655 2.866 0.000 0.000 0.000 4.950" Properties=species:S:1:pos:R:3 pbc="T T T"
Pm 0.000 0.000 0.000
Si 0.000 1.911 2.469
C 1.655 0.955 3.021
```


<Q>
PmSiC | GGA-PBE | relaxed

## Properties
Space-group type: I4/mmm, No. 139
N(E_F) (states/eV per cell): 3.5

Structure (extended XYZ):
```
6
Lattice="-1.887 1.887 8.228 1.887 -1.887 8.228 1.887 1.887 -8.228" Properties=species:S:1:pos:R:3 pbc="T T T"
Pm 0.000 0.000 2.829
Pm 0.000 0.000 13.628
Si 0.000 0.000 7.080
Si 0.000 0.000 9.377
C 0.000 0.000 5.275
C 0.000 0.000 11.182
```


Name the least stable of them. <Q>.


<P>
Pm6Si2C | GGA-PBE | relaxed

## Properties
Space-group type: P4_2/mnm, No. 136
N(E_F) (states/eV per cell): 24.1

Structure (extended XYZ):
```
18
Lattice="6.690 0.000 0.000 0.000 6.690 0.000 0.000 0.000 12.190" Properties=species:S:1:pos:R:3 pbc="T T T"
Pm 1.297 1.297 1.803
Pm 1.297 1.297 10.387
Pm 1.504 1.504 6.095
Pm 1.841 4.849 0.000
Pm 2.048 4.642 4.292
Pm 2.048 4.642 7.898
Pm 4.642 2.048 4.292
Pm 4.642 2.048 7.898
Pm 4.849 1.841 0.000
Pm 5.186 5.186 6.095
Pm 5.393 5.393 1.803
Pm 5.393 5.393 10.387
Si 0.000 0.000 4.049
Si 0.000 0.000 8.141
Si 3.345 3.345 2.046
Si 3.345 3.345 10.144
C 0.000 0.000 0.000
C 3.345 3.345 6.095
```


<Q>
Pm6Si2C | GGA-PBE | relaxed

## Properties
Space-group type: P2_1/c, No. 14
N(E_F) (states/eV per cell): 16.3

Structure (extended XYZ):
```
18
Lattice="6.354 0.000 0.000 0.000 7.988 0.000 -6.032 0.000 9.523" Properties=species:S:1:pos:R:3 pbc="T T T"
Pm -1.963 1.277 4.235
Pm -4.979 2.717 8.996
Pm -0.737 5.628 4.248
Pm -3.753 6.354 9.009
Pm 0.812 0.282 2.354
Pm -2.204 3.712 7.115
Pm 2.526 4.276 2.408
Pm -0.490 7.706 7.169
Pm 4.075 1.634 0.513
Pm 1.059 2.360 5.275
Pm 5.301 5.271 0.526
Pm 2.285 6.711 5.288
Si -3.352 0.907 7.209
Si -0.336 3.088 2.447
Si 0.658 4.901 7.075
Si 3.674 7.082 2.314
C 0.161 0.000 4.761
C 3.177 3.994 0.000
```


Name the least stable of them. <P>.


<P>
Pm2SiC | GGA-PBE | relaxed

## Properties
Space-group type: R-3m, No. 166
N(E_F) (states/eV per cell): 4.6

Structure (extended XYZ):
```
4
Lattice="1.875 1.083 7.343 -1.875 1.083 7.343 0.000 -2.165 7.343" Properties=species:S:1:pos:R:3 pbc="T T T"
Pm 0.000 0.000 5.110
Pm 0.000 0.000 16.918
Si 0.000 0.000 0.000
C 0.000 0.000 11.014
```


<Q>
Pm2SiC | GGA-PBE | relaxed

## Properties
Space-group type: P4/mmm, No. 123
N(E_F) (states/eV per cell): 4.2

Structure (extended XYZ):
```
4
Lattice="5.019 0.000 0.000 0.000 5.019 0.000 0.000 0.000 3.246" Properties=species:S:1:pos:R:3 pbc="T T T"
Pm 0.000 2.510 0.000
Pm 2.510 0.000 0.000
Si 0.000 0.000 1.623
C 2.510 2.510 1.623
```


Name the least stable of them. <Q>.


<P>
Pm4Si2C | GGA-PBE | relaxed

## Properties
Space-group type: I4/mmm, No. 139
N(E_F) (states/eV per cell): 1.6

Structure (extended XYZ):
```
7
Lattice="-2.422 2.422 7.788 2.422 -2.422 7.788 2.422 2.422 -7.788" Properties=species:S:1:pos:R:3 pbc="T T T"
Pm 2.422 0.000 0.000
Pm 0.000 0.000 2.665
Pm 0.000 2.422 0.000
Pm 0.000 0.000 12.911
Si 0.000 0.000 5.684
Si 0.000 0.000 9.892
C 0.000 0.000 0.000
```


<Q>
Pm4Si2C | GGA-PBE | relaxed

## Properties
Space-group type: P2_1/m, No. 11
N(E_F) (states/eV per cell): 2.6

Structure (extended XYZ):
```
14
Lattice="6.931 0.000 0.000 0.000 6.553 0.000 -2.741 0.000 8.164" Properties=species:S:1:pos:R:3 pbc="T T T"
Pm -0.597 0.003 2.034
Pm -0.597 3.273 2.034
Pm 1.427 1.638 4.819
Pm 2.732 1.638 1.071
Pm 1.457 4.914 7.093
Pm 2.762 4.914 3.345
Pm 4.786 3.280 6.130
Pm 4.786 6.549 6.130
Si -0.018 4.914 4.533
Si 1.621 4.914 0.511
Si 2.568 1.638 7.653
Si 4.208 1.638 3.631
C 0.915 1.638 2.538
C 3.274 4.914 5.626
```


Name the least stable of them. <Q>.


<P>
PmSm2C | GGA-PBE | relaxed

## Properties
Space-group type: R-3m, No. 166
N(E_F) (states/eV per cell): 3.8

Structure (extended XYZ):
```
4
Lattice="1.802 1.040 10.009 -1.802 1.040 10.009 0.000 -2.081 10.009" Properties=species:S:1:pos:R:3 pbc="T T T"
Pm 0.000 0.000 0.000
Sm 0.000 0.000 3.611
Sm 0.000 0.000 26.415
C 0.000 0.000 15.013
```


<Q>
PmSm2C | GGA-PBE | relaxed

## Properties
Space-group type: Immm, No. 71
N(E_F) (states/eV per cell): 5.5

Structure (extended XYZ):
```
4
Lattice="-1.820 2.609 5.843 1.820 -2.609 5.843 1.820 2.609 -5.843" Properties=species:S:1:pos:R:3 pbc="T T T"
Pm 0.000 0.000 0.000
Sm 0.000 0.000 4.112
Sm 0.000 0.000 7.574
C 0.000 2.609 0.000
```


<R>
PmSm2C | GGA-PBE | relaxed

## Properties
Space-group type: P-3m1, No. 164
N(E_F) (states/eV per cell): 4.9

Structure (extended XYZ):
```
4
Lattice="3.658 0.000 0.000 -1.829 3.168 0.000 0.000 0.000 9.496" Properties=species:S:1:pos:R:3 pbc="T T T"
Pm 0.000 0.000 0.000
Sm 0.000 2.112 6.153
Sm 1.829 1.056 3.343
C 0.000 0.000 4.748
```


Name the least stable of them. <P>.


<P>
Pm6Sn2C | GGA-PBE | relaxed

## Properties
Space-group type: Immm, No. 71
N(E_F) (states/eV per cell): 11.2

Structure (extended XYZ):
```
9
Lattice="-2.555 3.558 7.374 2.555 -3.558 7.374 2.555 3.558 -7.374" Properties=species:S:1:pos:R:3 pbc="T T T"
Pm 2.555 1.672 -2.171
Pm 0.000 1.595 0.000
Pm 2.555 1.672 2.171
Pm 0.000 1.886 5.203
Pm 0.000 5.522 0.000
Pm 0.000 1.886 9.545
Sn 2.555 0.000 4.890
Sn 0.000 3.558 2.484
C 2.555 0.000 0.000
```


<Q>
Pm6Sn2C | GGA-PBE | relaxed

## Properties
Space-group type: I4/mmm, No. 139
N(E_F) (states/eV per cell): 7.6

Structure (extended XYZ):
```
9
Lattice="-3.546 3.546 5.029 3.546 -3.546 5.029 3.546 3.546 -5.029" Properties=species:S:1:pos:R:3 pbc="T T T"
Pm 0.000 0.000 2.470
Pm 1.745 1.745 0.000
Pm 1.801 -1.801 5.029
Pm -1.801 1.801 5.029
Pm 0.000 0.000 7.588
Pm 1.801 1.801 5.029
Sn 3.546 0.000 2.514
Sn 0.000 3.546 2.514
C 0.000 0.000 0.000
```


Name the least stable of them. <P>.


<P>
Tb2PmC | GGA-PBE | relaxed

## Properties
Space-group type: R-3m, No. 166
N(E_F) (states/eV per cell): 4.4

Structure (extended XYZ):
```
4
Lattice="1.775 1.025 9.862 -1.775 1.025 9.862 0.000 -2.050 9.862" Properties=species:S:1:pos:R:3 pbc="T T T"
Tb 0.000 0.000 3.574
Tb 0.000 0.000 26.013
Pm 0.000 0.000 0.000
C 0.000 0.000 14.794
```


<Q>
Tb2PmC | GGA-PBE | relaxed

## Properties
Space-group type: P-3m1, No. 164
N(E_F) (states/eV per cell): 4.0

Structure (extended XYZ):
```
4
Lattice="3.609 0.000 0.000 -1.805 3.126 0.000 0.000 0.000 9.277" Properties=species:S:1:pos:R:3 pbc="T T T"
Tb 0.000 2.084 1.365
Tb 1.805 1.042 7.912
Pm 0.000 0.000 4.639
C 0.000 0.000 0.000
```


Name the least stable of them. <P>.


<P>
Tb4Pm2C | GGA-PBE | relaxed

## Properties
Space-group type: R-3m, No. 166
N(E_F) (states/eV per cell): 7.2

Structure (extended XYZ):
```
7
Lattice="1.803 1.041 18.131 -1.803 1.041 18.131 0.000 -2.081 18.131" Properties=species:S:1:pos:R:3 pbc="T T T"
Tb 0.000 0.000 7.618
Tb 0.000 0.000 19.493
Tb 0.000 0.000 34.898
Tb 0.000 0.000 46.774
Pm 0.000 0.000 13.348
Pm 0.000 0.000 41.044
C 0.000 0.000 0.000
```


<Q>
Tb4Pm2C | GGA-PBE | relaxed

## Properties
Space-group type: I4/mmm, No. 139
N(E_F) (states/eV per cell): 7.9

Structure (extended XYZ):
```
7
Lattice="-2.447 2.447 8.913 2.447 -2.447 8.913 2.447 2.447 -8.913" Properties=species:S:1:pos:R:3 pbc="T T T"
Tb 2.447 0.000 0.000
Tb 0.000 0.000 2.389
Tb 0.000 2.447 0.000
Tb 0.000 0.000 15.437
Pm 0.000 0.000 5.791
Pm 0.000 0.000 12.034
C 0.000 0.000 0.000
```


Name the least stable of them. <Q>.


<P>
PmTc2C | GGA-PBE | relaxed

## Properties
Space-group type: R-3m, No. 166
N(E_F) (states/eV per cell): 2.9

Structure (extended XYZ):
```
4
Lattice="1.975 1.140 5.458 -1.975 1.140 5.458 0.000 -2.280 5.458" Properties=species:S:1:pos:R:3 pbc="T T T"
Pm 0.000 0.000 0.000
Tc 0.000 0.000 3.104
Tc 0.000 0.000 13.269
C 0.000 0.000 8.187
```


<Q>
PmTc2C | GGA-PBE | relaxed

## Properties
Space-group type: Cmcm, No. 63
N(E_F) (states/eV per cell): 6.8

Structure (extended XYZ):
```
8
Lattice="1.535 -5.295 0.000 1.535 5.295 0.000 0.000 0.000 7.879" Properties=species:S:1:pos:R:3 pbc="T T T"
Pm 1.535 4.567 5.909
Pm 1.535 -4.567 1.970
Tc 1.535 1.720 4.530
Tc 1.535 1.720 7.289
Tc 1.535 -1.720 0.590
Tc 1.535 -1.720 3.349
C 1.535 3.301 1.970
C 1.535 -3.301 5.909
```


Name the least stable of them. <P>.


<P>
Pm2TcC2 | GGA-PBE | relaxed

## Properties
Space-group type: Pnma, No. 62
N(E_F) (states/eV per cell): 8.8

Structure (extended XYZ):
```
20
Lattice="6.676 0.000 0.000 0.000 5.296 0.000 0.000 0.000 10.166" Properties=species:S:1:pos:R:3 pbc="T T T"
Pm 0.189 1.324 2.171
Pm 1.229 1.324 5.621
Pm 2.109 3.972 0.538
Pm 3.149 3.972 7.254
Pm 3.527 1.324 2.912
Pm 4.567 1.324 9.628
Pm 5.447 3.972 4.545
Pm 6.487 3.972 7.995
Tc 1.504 1.324 8.738
Tc 1.834 3.972 3.655
Tc 4.842 1.324 6.512
Tc 5.172 3.972 1.429
C 0.266 3.972 2.463
C 1.249 3.972 5.476
C 2.089 1.324 0.393
C 3.072 1.324 7.546
C 3.604 3.972 2.620
C 4.587 3.972 9.773
C 5.427 1.324 4.690
C 6.410 1.324 7.703
```


<Q>
Pm2TcC2 | GGA-PBE | relaxed

## Properties
Space-group type: P2_1/c, No. 14
N(E_F) (states/eV per cell): 10.2

Structure (extended XYZ):
```
20
Lattice="8.145 0.000 0.000 0.000 6.351 0.000 -1.107 0.000 6.454" Properties=species:S:1:pos:R:3 pbc="T T T"
Pm 0.497 1.486 0.175
Pm -0.056 1.689 3.402
Pm 1.600 3.841 5.727
Pm 2.153 5.684 2.500
Pm 4.885 0.666 3.954
Pm 5.438 2.509 0.727
Pm 7.095 4.661 3.052
Pm 6.541 4.864 6.278
Tc 2.178 0.521 5.474
Tc 2.731 2.654 2.248
Tc 4.307 3.696 4.206
Tc 4.860 5.830 0.979
C 1.058 3.569 1.489
C 0.504 5.957 4.716
C 3.313 1.164 0.942
C 2.759 2.012 4.169
C 4.279 4.339 2.285
C 3.726 5.187 5.511
C 6.534 0.394 1.738
C 5.981 2.781 4.965
```


Name the least stable of them. <Q>.


<P>
Pm4Te2C | GGA-PBE | relaxed

## Properties
Space-group type: C2/m, No. 12
N(E_F) (states/eV per cell): 5.3

Structure (extended XYZ):
```
7
Lattice="8.010 -1.995 0.000 8.010 1.995 0.000 -3.167 0.000 6.401" Properties=species:S:1:pos:R:3 pbc="T T T"
Pm 0.802 0.000 1.558
Pm 5.750 0.000 1.203
Pm 7.103 0.000 5.198
Pm 12.051 0.000 4.843
Te 1.512 0.000 4.678
Te 11.341 0.000 1.723
C 8.010 0.000 0.000
```


<Q>
Pm4Te2C | GGA-PBE | relaxed

## Properties
Space-group type: I4/mmm, No. 139
N(E_F) (states/eV per cell): 6.7

Structure (extended XYZ):
```
7
Lattice="-2.433 2.433 8.189 2.433 -2.433 8.189 2.433 2.433 -8.189" Properties=species:S:1:pos:R:3 pbc="T T T"
Pm 2.433 0.000 0.000
Pm 0.000 0.000 2.648
Pm 0.000 2.433 0.000
Pm 0.000 0.000 13.730
Te 0.000 0.000 5.877
Te 0.000 0.000 10.502
C 0.000 0.000 0.000
```


Name the least stable of them. <Q>.